Computed, not measured: MgZrCrPb2 at its PBEsol-relaxed geometry at the meta-GGA SCAN level of DFT.

Output
**E_form**: 16.9 kcal/mol of atoms
**Magnetization**: 0.624 μB per atom
**Space group**: No. 123

abc: 4.708 5.612 5.612
angles: 90.00 90.00 90.00
Site moments in Bohr magnetons follow the coordinates.
Fractional coordinates of all 5 atoms:
1 Pb 0.000 0.000 0.500  -0.04
2 Pb 0.000 0.500 0.000  -0.04
3 Cr 0.500 0.000 0.000  3.33
4 Mg 0.500 0.500 0.500  -0.02
5 Zr 0.000 0.000 0.000  -0.30